DFT (GGA-PBE) results for a relaxed LiEuI2 crystal.

a b c (Å): 3.9834 3.9834 7.7892
angles (deg): 90.00 90.00 90.00
Space group P4/mmm (No. 123)
Unique sites:
1 Li 0.0000 0.0000 0.0000 x1
2 Eu 0.0000 0.0000 0.5000 x1
3 I 0.5000 0.5000 0.2504 x2

Properties
The value obtained for the density of states at the Fermi level is 1.0 states/eV/cell. The uncorrected energy comes out at -4.82 eV/atom.

=====

DFT (GGA-PBE) results for a relaxed LiEuI2 crystal.

a b c (Å): 4.1686 4.1686 25.2597
angles (deg): 90.00 90.00 120.00
Space group R-3m (No. 166, hexagonal axes)
Unique sites:
1 Li 0.0000 0.0000 0.0000 x3
2 Eu 0.0000 0.0000 0.5000 x3
3 I 0.0000 0.0000 0.2639 x6

Properties
The value obtained for the density of states at the Fermi level is 2.1 states/eV/cell. The uncorrected energy comes out at -4.93 eV/atom.

=====

DFT (GGA-PBE) results for a relaxed LiEu2I4 crystal.

a b c (Å): 5.6385 5.6385 16.5914
angles (deg): 90.00 90.00 90.00
Space group I4/mmm (No. 139)
Unique sites:
1 Li 0.0000 0.0000 0.0000 x2
2 Eu 0.0000 0.0000 0.3790 x4
3 I 0.0000 0.0000 0.1820 x4
4 I 0.0000 0.5000 0.0000 x4

Properties
The value obtained for the density of states at the Fermi level is 4.6 states/eV/cell. The uncorrected energy comes out at -5.27 eV/atom.

=====

DFT (GGA-PBE) results for a relaxed LiEuI crystal.

a b c (Å): 4.8712 4.8712 4.1798
angles (deg): 90.00 90.00 120.00
Space group P-6m2 (No. 187)
Unique sites:
1 Li 0.0000 0.0000 0.0000 x1
2 Eu 0.6667 0.3333 0.5000 x1
3 I 0.3333 0.6667 0.0000 x1

Properties
The value obtained for the density of states at the Fermi level is 1.7 states/eV/cell. The uncorrected energy comes out at -5.13 eV/atom.

=====

Question: Which of these has the lowest uncorrected energy?
Answer: LiEu2I4

=====

What did the third record say?
DFT (GGA-PBE) results for a relaxed LiEu2I4 crystal.

a b c (Å): 5.6385 5.6385 16.5914
angles (deg): 90.00 90.00 90.00
Space group I4/mmm (No. 139)
Unique sites:
1 Li 0.0000 0.0000 0.0000 x2
2 Eu 0.0000 0.0000 0.3790 x4
3 I 0.0000 0.0000 0.1820 x4
4 I 0.0000 0.5000 0.0000 x4

Properties
The value obtained for the density of states at the Fermi level is 4.6 states/eV/cell. The uncorrected energy comes out at -5.27 eV/atom.